First-principles (PBE) data for a relaxed structure of Dy12HoEr2, as listed in Alexandria.

```
15
Lattice="3.538 0.000 0.000 0.000 5.549 0.000 -1.757 0.000 24.095" Properties=species:S:1:pos:R:3 pbc="T T T"
Dy 0.011 0.000 1.772
Dy 0.000 0.000 10.711
Dy 0.012 2.774 13.862
Dy 0.006 0.000 16.158
Dy -0.004 0.000 19.246
Dy 0.000 2.774 20.784
Dy 1.781 2.774 3.310
Dy 1.785 0.000 4.849
Dy 1.775 0.000 7.936
Dy 1.770 2.774 10.233
Dy 1.781 0.000 13.384
Dy 1.770 0.000 22.322
Ho 1.769 2.774 0.000
Er 0.012 2.774 6.539
Er 1.769 2.774 17.556
```

First-principles (PBE) data for a relaxed structure of DyHoEr, as listed in Alexandria.

```
6
Lattice="5.548 0.000 0.000 0.000 3.453 0.000 0.000 0.000 9.634" Properties=species:S:1:pos:R:3 pbc="T T T"
Dy 1.387 0.000 2.396
Dy 4.161 0.000 7.238
Ho 1.387 1.726 5.623
Ho 4.161 1.726 4.011
Er 1.387 1.726 8.831
Er 4.161 1.726 0.803
```

First-principles (PBE) data for a relaxed structure of Dy3Ho3Er, as listed in Alexandria.

```
14
Lattice="9.502 0.000 0.000 -4.751 8.229 0.000 0.000 0.000 5.605" Properties=species:S:1:pos:R:3 pbc="T T T"
Dy -3.389 6.656 1.401
Dy 0.681 1.966 1.401
Dy 2.043 0.393 4.204
Dy 2.708 7.836 1.401
Dy 4.069 6.263 4.204
Dy 8.140 1.573 4.204
Ho -2.037 5.094 4.204
Ho 1.357 3.917 4.204
Ho 4.071 0.783 1.401
Ho 0.679 7.445 4.204
Ho 3.393 4.311 1.401
Ho 6.788 3.134 1.401
Er 0.000 5.486 1.401
Er 4.751 2.743 4.204
```

First-principles (PBE) data for a relaxed structure of Dy2Ho5Er4, as listed in Alexandria.

```
11
Lattice="8.076 -2.797 0.000 8.076 2.797 0.000 -5.196 0.000 7.592" Properties=species:S:1:pos:R:3 pbc="T T T"
Dy 0.143 0.000 1.904
Dy 10.812 0.000 5.688
Ho -2.598 0.000 3.796
Ho 0.765 0.000 5.699
Ho 3.244 0.000 3.323
Ho 7.712 0.000 4.269
Ho 10.191 0.000 1.893
Er -2.141 0.000 7.498
Er 6.218 0.000 1.512
Er 4.738 0.000 6.080
Er 13.097 0.000 0.094
```

First-principles (PBE) data for a relaxed structure of DyHoEr6, as listed in Alexandria.

```
8
Lattice="7.154 0.000 0.000 -3.577 6.195 0.000 0.000 0.000 5.571" Properties=species:S:1:pos:R:3 pbc="T T T"
Dy 0.000 0.000 0.000
Ho 3.577 2.065 2.785
Er -1.786 3.099 0.000
Er 0.000 2.066 2.785
Er -1.788 5.162 2.785
Er 0.000 6.192 0.000
Er 1.786 3.099 0.000
Er 1.788 5.162 2.785
```

First-principles (PBE) data for a relaxed structure of DyHo6Er8, as listed in Alexandria.

```
15
Lattice="4.462 2.576 6.780 -4.462 2.576 6.780 0.000 -5.152 6.780" Properties=species:S:1:pos:R:3 pbc="T T T"
Dy 0.000 0.000 0.000
Ho -1.917 0.513 5.947
Ho 0.514 -1.916 5.947
Ho -1.403 -1.403 14.395
Ho 1.403 1.403 5.947
Ho -0.514 1.916 14.395
Ho 1.917 -0.513 14.395
Er -2.727 -1.688 10.671
Er -2.825 1.518 9.670
Er 0.098 -3.206 9.670
Er 0.000 0.000 8.616
Er 0.000 0.000 11.726
Er -0.098 3.206 10.671
Er 2.825 -1.518 10.671
Er 2.727 1.688 9.670
```

| no. | uncorrected energy (eV per atom) | E_form (eV per atom) | Fermi-level density of states (states/eV/cell) |
| --- | --- | --- | --- |
| 1 | -4.4760 | 0.12 | 24.334 |
| 2 | -4.5065 | 0.07 | 10.543 |
| 3 | -4.5789 | 0.01 | 28.747 |
| 4 | -4.4782 | 0.10 | 18.900 |
| 5 | -4.5662 | 0.00 | 16.506 |
| 6 | -4.4402 | 0.13 | 22.417 |